TmCl3 | SCAN | PBEsol geometry

SG: R-3c (167)
DOS at the Fermi energy: 0.000 states/eV per cell
Formation energy (no corrections): -2501 meV per atom
Volume: 26.513 A^3/atom
Spin magnetization: 0.0 μB per cell

a b c (Å): 6.985 6.985 6.985
angles (deg): 54.86 54.86 54.86
Fractional positions:
Tm 0.000 0.000 0.000
Tm 0.500 0.500 0.500
Cl 0.091 0.750 0.409
Cl 0.250 0.591 0.909
Cl 0.409 0.091 0.750
Cl 0.591 0.909 0.250
Cl 0.750 0.409 0.091
Cl 0.909 0.250 0.591

Mg2TlCd | SCAN | PBEsol geometry

SG: P4/mmm (123)
DOS at the Fermi energy: 1.575 states/eV per cell
Volume: 22.178 A^3/atom
Spin magnetization: 0.0 μB per cell
Formation energy from the elements: -0.54 eV per formula unit

a b c (Å): 3.388 3.388 7.729
angles (deg): 90.00 90.00 90.00
Fractional positions:
Mg 0.000 0.000 0.235
Mg 0.000 0.000 0.765
Tl 0.500 0.500 0.500
Cd 0.500 0.500 0.000

Zr4RhSe | SCAN | PBEsol geometry

SG: F-43m (216)
DOS at the Fermi energy: 5.829 states/eV per cell
Formation energy (no corrections): 316 meV per atom
Volume: 19.540 A^3/atom
Spin magnetization: 0.0 μB per cell

a b c (Å): 5.494 5.494 5.494
angles (deg): 60.00 60.00 60.00
Fractional positions:
Zr 0.124 0.124 0.124
Zr 0.124 0.124 0.627
Zr 0.124 0.627 0.124
Zr 0.627 0.124 0.124
Rh 0.750 0.750 0.750
Se 0.500 0.500 0.500

ZnCu2SnS4 | SCAN | PBEsol geometry

SG: I-4 (82)
Formation energy (no corrections): -532 meV per atom
Volume: 19.375 A^3/atom
Spin magnetization: 0.0 μB per cell
Offset from the most stable computed form: 0 meV per atom

a b c (Å): 6.578 6.578 6.578
angles (deg): 131.80 131.80 70.54
Fractional positions:
Zn 0.000 0.000 0.000
Cu 0.500 0.500 0.000
Cu 0.750 0.250 0.500
Sn 0.250 0.750 0.500
S 0.120 0.611 0.972
S 0.389 0.361 0.509
S 0.639 0.148 0.028
S 0.852 0.880 0.491

CeSiAg | SCAN | PBEsol geometry

SG: P-6m2 (187)
DOS at the Fermi energy: 4.201 states/eV per cell
Formation energy (no corrections): -457 meV per atom
Volume: 21.052 A^3/atom
Spin magnetization: 1.1 μB per cell

a b c (Å): 4.316 4.316 3.916
angles (deg): 90.00 90.00 120.00
Fractional positions:
Ce 0.000 0.000 0.000
Si 0.333 0.667 0.500
Ag 0.667 0.333 0.500

Er5Mg24 | SCAN | PBEsol geometry

SG: I-43m (217)
DOS at the Fermi energy: 17.437 states/eV per cell
Volume: 23.748 A^3/atom
Spin magnetization: 0.0 μB per cell
Formation energy from the elements: -0.90 eV per formula unit

a b c (Å): 9.636 9.636 9.636
angles (deg): 109.47 109.47 109.47
Fractional positions:
Er 0.000 0.000 0.000
Er 0.000 0.000 0.628
Er 0.000 0.628 0.000
Er 0.372 0.372 0.372
Er 0.628 0.000 0.000
Mg 0.000 0.191 0.371
Mg 0.000 0.371 0.191
Mg 0.000 0.390 0.677
Mg 0.000 0.677 0.390
Mg 0.180 0.809 0.809
Mg 0.191 0.000 0.371
Mg 0.191 0.371 0.000
Mg 0.287 0.610 0.610
Mg 0.323 0.323 0.713
Mg 0.323 0.713 0.323
Mg 0.371 0.000 0.191
Mg 0.371 0.191 0.000
Mg 0.390 0.000 0.677
Mg 0.390 0.677 0.000
Mg 0.610 0.287 0.610
Mg 0.610 0.610 0.287
Mg 0.629 0.629 0.820
Mg 0.629 0.820 0.629
Mg 0.677 0.000 0.390
Mg 0.677 0.390 0.000
Mg 0.713 0.323 0.323
Mg 0.809 0.180 0.809
Mg 0.809 0.809 0.180
Mg 0.820 0.629 0.629

Values for electronic total energy, eV/atom, ordered as above
-21.44 -28.31 -29.13 -15.33 -29.11 -12.83